P.
Below is PrDy4Tm after structural relaxation, with properties calculated at the GGA-PBE level.

Lattice parameters (Å, degrees): 6.0275 6.0275 11.5367 118.62 118.62 33.28
Element x y z (fractional)
Pr (0.0000, 0.0000, 0.0000)
Dy (0.1551, 0.1551, 0.3482)
Dy (0.3467, 0.3467, 0.1585)
Dy (0.6533, 0.6533, 0.8415)
Dy (0.8449, 0.8449, 0.6518)
Tm (0.5000, 0.5000, 0.5000)

Summary:
Calculated volume, A^3/atom: 33.20


Q.
Below is PrDy4Tm after structural relaxation, with properties calculated at the GGA-PBE level.

Lattice parameters (Å, degrees): 6.5806 6.5806 6.5806 60.00 60.00 60.00
Element x y z (fractional)
Pr (0.0000, 0.0000, 0.0000)
Dy (0.3752, 0.3752, 0.3752)
Dy (0.3752, 0.3752, 0.8743)
Dy (0.3752, 0.8743, 0.3752)
Dy (0.8743, 0.3752, 0.3752)
Tm (0.7500, 0.7500, 0.7500)

Summary:
Calculated volume, A^3/atom: 33.58


Most stable = P


P.
Below is Pr2Dy5Tm12 after structural relaxation, with properties calculated at the GGA-PBE level.

Lattice parameters (Å, degrees): 6.4772 8.5596 11.9135 78.38 76.26 69.47
Element x y z (fractional)
Pr (0.2145, 0.0077, 0.3869)
Pr (0.7855, 0.9923, 0.6131)
Dy (0.0752, 0.2991, 0.0136)
Dy (0.2319, 0.5568, 0.4879)
Dy (0.5000, 0.5000, 0.0000)
Dy (0.7681, 0.4432, 0.5121)
Dy (0.9248, 0.7009, 0.9864)
Tm (0.0990, 0.9060, 0.1327)
Tm (0.1093, 0.4655, 0.2472)
Tm (0.2247, 0.1774, 0.6169)
Tm (0.3401, 0.7587, 0.6853)
Tm (0.4571, 0.3468, 0.7594)
Tm (0.4565, 0.9447, 0.8803)
Tm (0.5435, 0.0553, 0.1197)
Tm (0.5429, 0.6532, 0.2406)
Tm (0.6599, 0.2413, 0.3147)
Tm (0.7753, 0.8226, 0.3831)
Tm (0.8907, 0.5345, 0.7528)
Tm (0.9010, 0.0940, 0.8673)

Summary:
Calculated volume, A^3/atom: 31.36


Q.
Below is Pr2Dy5Tm12 after structural relaxation, with properties calculated at the GGA-PBE level.

Lattice parameters (Å, degrees): 9.0769 9.0769 8.4407 91.14 91.14 60.60
Element x y z (fractional)
Pr (0.1878, 0.8122, 0.0000)
Pr (0.8122, 0.1878, 0.0000)
Dy (0.1976, 0.1976, 0.0073)
Dy (0.2666, 0.2666, 0.4221)
Dy (0.5000, 0.5000, 0.5000)
Dy (0.7334, 0.7334, 0.5779)
Dy (0.8024, 0.8024, 0.9927)
Tm (0.0559, 0.0559, 0.3281)
Tm (0.0645, 0.6817, 0.3492)
Tm (0.1624, 0.5237, 0.7526)
Tm (0.3183, 0.9355, 0.6508)
Tm (0.4058, 0.4058, 0.1170)
Tm (0.4763, 0.8376, 0.2474)
Tm (0.5237, 0.1624, 0.7526)
Tm (0.5942, 0.5942, 0.8830)
Tm (0.6817, 0.0645, 0.3492)
Tm (0.8376, 0.4763, 0.2474)
Tm (0.9355, 0.3183, 0.6508)
Tm (0.9441, 0.9441, 0.6719)

Summary:
Calculated volume, A^3/atom: 31.88


Most stable = P


P.
Below is Pr3Dy4Tm5 after structural relaxation, with properties calculated at the GGA-PBE level.

Lattice parameters (Å, degrees): 8.4922 8.4922 9.2863 114.53 114.53 40.80
Element x y z (fractional)
Pr (0.0000, 0.0000, 0.0000)
Pr (0.2900, 0.2900, 0.7655)
Pr (0.7100, 0.7100, 0.2345)
Dy (0.2924, 0.2924, 0.1220)
Dy (0.4174, 0.4174, 0.5568)
Dy (0.5826, 0.5826, 0.4432)
Dy (0.7076, 0.7076, 0.8780)
Tm (0.0719, 0.0719, 0.6955)
Tm (0.1712, 0.1712, 0.3861)
Tm (0.5000, 0.5000, 0.0000)
Tm (0.8288, 0.8288, 0.6139)
Tm (0.9281, 0.9281, 0.3045)

Summary:
Calculated volume, A^3/atom: 32.69


Q.
Below is Pr3Dy4Tm5 after structural relaxation, with properties calculated at the GGA-PBE level.

Lattice parameters (Å, degrees): 6.1525 7.1261 9.4268 101.02 108.95 90.15
Element x y z (fractional)
Pr (0.0000, 0.0000, 0.0000)
Pr (0.4995, 0.9148, 0.6669)
Pr (0.5005, 0.0852, 0.3331)
Dy (0.0018, 0.1698, 0.6678)
Dy (0.4976, 0.5816, 0.3304)
Dy (0.5024, 0.4184, 0.6696)
Dy (0.9982, 0.8302, 0.3322)
Tm (0.0000, 0.5000, 0.0000)
Tm (0.0009, 0.3372, 0.3343)
Tm (0.4986, 0.7455, 0.9993)
Tm (0.5014, 0.2545, 0.0007)
Tm (0.9991, 0.6628, 0.6657)

Summary:
Calculated volume, A^3/atom: 31.90


Most stable = Q


P.
Below is Pr3Dy5Tm4 after structural relaxation, with properties calculated at the GGA-PBE level.

Lattice parameters (Å, degrees): 6.1778 7.1295 8.7329 90.04 90.07 90.17
Element x y z (fractional)
Pr (0.0000, 0.0000, 0.0000)
Pr (0.1661, 0.7484, 0.6652)
Pr (0.8339, 0.2516, 0.3348)
Dy (0.0000, 0.5000, 0.0000)
Dy (0.3354, 0.0000, 0.3335)
Dy (0.4985, 0.2523, 0.9997)
Dy (0.5015, 0.7477, 0.0003)
Dy (0.6646, 0.0000, 0.6665)
Tm (0.1693, 0.2517, 0.6663)
Tm (0.3340, 0.5004, 0.3332)
Tm (0.6660, 0.4996, 0.6668)
Tm (0.8307, 0.7483, 0.3337)

Summary:
Calculated volume, A^3/atom: 32.05


Q.
Below is Pr3Dy5Tm4 after structural relaxation, with properties calculated at the GGA-PBE level.

Lattice parameters (Å, degrees): 9.3263 9.3263 8.7327 115.49 115.49 35.74
Element x y z (fractional)
Pr (0.0000, 0.0000, 0.0000)
Pr (0.3144, 0.3144, 0.7736)
Pr (0.6856, 0.6856, 0.2264)
Dy (0.0951, 0.0951, 0.4379)
Dy (0.1610, 0.1610, 0.8910)
Dy (0.5000, 0.5000, 0.0000)
Dy (0.8390, 0.8390, 0.1090)
Dy (0.9049, 0.9049, 0.5621)
Tm (0.2927, 0.2927, 0.3553)
Tm (0.4638, 0.4638, 0.3037)
Tm (0.5362, 0.5362, 0.6963)
Tm (0.7073, 0.7073, 0.6447)

Summary:
Calculated volume, A^3/atom: 32.97


Most stable = P


P.
Below is Pr2DyTm7 after structural relaxation, with properties calculated at the GGA-PBE level.

Lattice parameters (Å, degrees): 14.6961 14.6961 3.4980 90.00 90.00 154.69
Element x y z (fractional)
Pr (0.2084, 0.7916, 0.0000)
Pr (0.7916, 0.2084, 0.0000)
Dy (0.5000, 0.5000, 0.5000)
Tm (0.0000, 0.0000, 0.0000)
Tm (0.1568, 0.3515, 0.0000)
Tm (0.3170, 0.6830, 0.5000)
Tm (0.3515, 0.1568, 0.0000)
Tm (0.6485, 0.8432, 0.0000)
Tm (0.6830, 0.3170, 0.5000)
Tm (0.8432, 0.6485, 0.0000)

Summary:
Calculated volume, A^3/atom: 32.30


Q.
Below is Pr2DyTm7 after structural relaxation, with properties calculated at the GGA-PBE level.

Lattice parameters (Å, degrees): 5.5509 8.4124 8.4491 115.36 101.40 103.52
Element x y z (fractional)
Pr (0.0752, 0.2261, 0.1470)
Pr (0.9248, 0.7739, 0.8530)
Dy (0.0000, 0.0000, 0.5000)
Tm (0.2542, 0.6856, 0.3182)
Tm (0.2807, 0.5060, 0.6128)
Tm (0.4909, 0.0050, 0.7982)
Tm (0.5000, 0.5000, 0.0000)
Tm (0.5091, 0.9950, 0.2018)
Tm (0.7193, 0.4940, 0.3872)
Tm (0.7458, 0.3144, 0.6818)

Summary:
Calculated volume, A^3/atom: 32.61


Most stable = P


P.
Below is PrDyTm2 after structural relaxation, with properties calculated at the GGA-PBE level.

Lattice parameters (Å, degrees): 5.6712 5.6712 5.6712 60.00 60.00 60.00
Element x y z (fractional)
Pr (0.0000, 0.0000, 0.0000)
Dy (0.5000, 0.5000, 0.5000)
Tm (0.2500, 0.2500, 0.2500)
Tm (0.7500, 0.7500, 0.7500)

Summary:
Calculated volume, A^3/atom: 32.24


Q.
Below is PrDyTm2 after structural relaxation, with properties calculated at the GGA-PBE level.

Lattice parameters (Å, degrees): 11.7127 11.7127 11.7127 17.55 17.55 17.55
Element x y z (fractional)
Pr (0.0000, 0.0000, 0.0000)
Dy (0.8343, 0.8343, 0.8343)
Tm (0.2488, 0.2488, 0.2488)
Tm (0.4194, 0.4194, 0.4194)

Summary:
Calculated volume, A^3/atom: 31.90


Most stable = Q


P.
Below is PrDyYTm after structural relaxation, with properties calculated at the GGA-PBE level.

Lattice parameters (Å, degrees): 5.7066 5.7066 5.7066 60.00 60.00 60.00
Element x y z (fractional)
Pr (0.0000, 0.0000, 0.0000)
Dy (0.5000, 0.5000, 0.5000)
Y (0.2500, 0.2500, 0.2500)
Tm (0.7500, 0.7500, 0.7500)

Summary:
Calculated volume, A^3/atom: 32.85


Q.
Below is PrDyYTm after structural relaxation, with properties calculated at the GGA-PBE level.

Lattice parameters (Å, degrees): 6.8780 6.8780 3.7653 105.88 105.88 50.50
Element x y z (fractional)
Pr (0.0000, 0.0000, 0.0000)
Dy (0.5127, 0.5127, 0.5146)
Y (0.2652, 0.2652, 0.7689)
Tm (0.7504, 0.7504, 0.2532)

Summary:
Calculated volume, A^3/atom: 32.75


Most stable = P


P.
Below is Pr8DyY6 after structural relaxation, with properties calculated at the GGA-PBE level.

Lattice parameters (Å, degrees): 8.8336 8.8336 8.8336 62.96 62.96 62.96
Element x y z (fractional)
Pr (0.0779, 0.0779, 0.0779)
Pr (0.2149, 0.6135, 0.2536)
Pr (0.2536, 0.2149, 0.6135)
Pr (0.3865, 0.7464, 0.7851)
Pr (0.6135, 0.2536, 0.2149)
Pr (0.7464, 0.7851, 0.3865)
Pr (0.7851, 0.3865, 0.7464)
Pr (0.9221, 0.9221, 0.9221)
Dy (0.5000, 0.5000, 0.5000)
Y (0.0388, 0.5948, 0.7498)
Y (0.2502, 0.9612, 0.4052)
Y (0.4052, 0.2502, 0.9612)
Y (0.5948, 0.7498, 0.0388)
Y (0.7498, 0.0388, 0.5948)
Y (0.9612, 0.4052, 0.2502)

Summary:
Calculated volume, A^3/atom: 34.63


Q.
Below is Pr8DyY6 after structural relaxation, with properties calculated at the GGA-PBE level.

Lattice parameters (Å, degrees): 9.5148 9.5148 6.6578 90.00 90.00 120.00
Element x y z (fractional)
Pr (0.0390, 0.2873, 0.3334)
Pr (0.2482, 0.9610, 0.3334)
Pr (0.2873, 0.2482, 0.6666)
Pr (0.3333, 0.6667, 0.3792)
Pr (0.6667, 0.3333, 0.6208)
Pr (0.7127, 0.7518, 0.3334)
Pr (0.7518, 0.0390, 0.6666)
Pr (0.9610, 0.7127, 0.6666)
Dy (0.0000, 0.0000, 0.0000)
Y (0.0946, 0.4364, 0.8441)
Y (0.3417, 0.9054, 0.8441)
Y (0.4364, 0.3417, 0.1559)
Y (0.5636, 0.6583, 0.8441)
Y (0.6583, 0.0946, 0.1559)
Y (0.9054, 0.5636, 0.1559)

Summary:
Calculated volume, A^3/atom: 34.80


Most stable = P


P.
Below is PrDy3Y7 after structural relaxation, with properties calculated at the GGA-PBE level.

Lattice parameters (Å, degrees): 6.9398 5.5765 10.0013 90.00 109.23 90.00
Element x y z (fractional)
Pr (0.0000, 0.0000, 0.0000)
Dy (0.2771, 0.5000, 0.4960)
Dy (0.5000, 0.0000, 0.0000)
Dy (0.7229, 0.5000, 0.5040)
Y (0.0000, 0.0000, 0.5000)
Y (0.1479, 0.5000, 0.7881)
Y (0.3232, 0.5000, 0.1403)
Y (0.4258, 0.0000, 0.3313)
Y (0.5742, 0.0000, 0.6687)
Y (0.6768, 0.5000, 0.8597)
Y (0.8521, 0.5000, 0.2119)

Summary:
Calculated volume, A^3/atom: 33.22


Q.
Below is PrDy3Y7 after structural relaxation, with properties calculated at the GGA-PBE level.

Lattice parameters (Å, degrees): 7.1074 7.1074 8.6424 90.00 90.00 120.00
Element x y z (fractional)
Pr (0.0000, 0.0000, 0.0000)
Dy (0.3342, 0.1671, 0.6642)
Dy (0.8329, 0.1671, 0.6642)
Dy (0.8329, 0.6658, 0.6642)
Y (0.1657, 0.3314, 0.3330)
Y (0.1657, 0.8343, 0.3330)
Y (0.5011, 0.0021, 0.9987)
Y (0.5011, 0.4989, 0.9987)
Y (0.6667, 0.3333, 0.3312)
Y (0.6686, 0.8343, 0.3330)
Y (0.9979, 0.4989, 0.9987)

Summary:
Calculated volume, A^3/atom: 34.37


Most stable = P


P.
Below is Pr4Dy2Y3 after structural relaxation, with properties calculated at the GGA-PBE level.

Lattice parameters (Å, degrees): 9.9502 9.9502 6.4489 93.57 93.57 74.16
Element x y z (fractional)
Pr (0.1832, 0.4695, 0.9172)
Pr (0.1826, 0.6925, 0.5269)
Pr (0.3075, 0.8174, 0.9731)
Pr (0.4695, 0.1832, 0.4172)
Pr (0.5305, 0.8168, 0.5828)
Pr (0.6925, 0.1826, 0.0269)
Pr (0.8174, 0.3075, 0.4731)
Pr (0.8168, 0.5305, 0.0828)
Dy (0.1305, 0.3679, 0.3967)
Dy (0.3679, 0.1305, 0.8967)
Dy (0.6321, 0.8695, 0.1033)
Dy (0.8695, 0.6321, 0.6033)
Y (0.0229, 0.1774, 0.9192)
Y (0.1774, 0.0229, 0.4192)
Y (0.4752, 0.5248, 0.2500)
Y (0.5248, 0.4752, 0.7500)
Y (0.8226, 0.9771, 0.5808)
Y (0.9771, 0.8226, 0.0808)

Summary:
Calculated volume, A^3/atom: 34.02


Q.
Below is Pr4Dy2Y3 after structural relaxation, with properties calculated at the GGA-PBE level.

Lattice parameters (Å, degrees): 5.7400 5.7400 10.6504 90.00 90.00 120.00
Element x y z (fractional)
Pr (0.0000, 0.0000, 0.1637)
Pr (0.0000, 0.0000, 0.8363)
Pr (0.3333, 0.6667, 0.6641)
Pr (0.6667, 0.3333, 0.3359)
Dy (0.3333, 0.6667, 0.3312)
Dy (0.6667, 0.3333, 0.6688)
Y (0.0000, 0.0000, 0.5000)
Y (0.3333, 0.6667, 0.9974)
Y (0.6667, 0.3333, 0.0026)

Summary:
Calculated volume, A^3/atom: 33.77


Most stable = Q